DFT (PBE-GGA) results for an optimized crystal structure of Ho2Ga5Au4.

Output
* density of states at the Fermi level: 4.08 states/eV/f.u.
* energy: -42.66 eV for the cell shown
* E_form: -478 meV/atom

Cell: 5.345 5.245 9.570 Å, 81.82 73.78 59.36°
Fractional coordinates of all 11 atoms:
Ga (0.250, 0.500, 0.500)
Ga (0.500, 0.000, 0.000)
Ga (0.000, 0.500, 0.000)
Ho (0.903, 0.000, 0.194)
Ga (0.750, 0.500, 0.500)
Ga (0.500, 0.500, 0.000)
Au (0.204, 0.322, 0.270)
Ho (0.097, 0.000, 0.806)
Au (0.796, 0.678, 0.730)
Au (0.526, 0.678, 0.270)
Au (0.474, 0.322, 0.730)